[1]
Material: Zr2HgMo
Method: DFT, meta-GGA SCAN
State: PBEsol geometry

Unit cell a=5.3194 b=5.3194 c=5.3194 alpha=133.92 beta=133.92 gamma=67.21
Last column: nearest neighbours and their distance in Å.
Sites, in units of the cell vectors:
Zr  0.0000  0.0000  0.0000  4 Hg 2.94, 4 Zr 3.04, 4 Mo 3.04
Zr  0.7500  0.2500  0.5000  4 Mo 2.94, 4 Zr 3.04, 4 Hg 3.04
Hg  0.5000  0.5000  0.0000  8 Zr 2.94-3.04, 4 Mo 3.04
Mo  0.2500  0.7500  0.5000  8 Zr 2.94-3.04, 4 Hg 3.04

Computed properties:
As for the calculated total energy: -41.123 eV/atom. The energy relative to the elements comes out at -0.01 eV per atom. Its space group is No. 119.

---

[2]
Material: Zr2HgMo
Method: DFT, meta-GGA SCAN
State: PBEsol geometry

Unit cell a=3.4100 b=3.4100 c=6.6750 alpha=90.00 beta=90.00 gamma=90.00
Last column: nearest neighbours and their distance in Å.
Sites, in units of the cell vectors:
Zr  0.0000  0.0000  0.2273  4 Mo 2.85, 4 Hg 3.02, 1 Zr 3.03
Zr  0.0000  0.0000  0.7727  4 Mo 2.85, 4 Hg 3.02, 1 Zr 3.03
Hg  0.5000  0.5000  0.5000  8 Zr 3.02, 2 Mo 3.34
Mo  0.5000  0.5000  0.0000  8 Zr 2.85

Computed properties:
As for the calculated total energy: -41.390 eV/atom. The energy relative to the elements comes out at -0.28 eV per atom. Its space group is No. 123.

---

[3]
Material: Zr2HgMo
Method: DFT, meta-GGA SCAN
State: PBEsol geometry

Unit cell a=4.6653 b=4.6653 c=3.5267 alpha=90.00 beta=90.00 gamma=90.00
Last column: nearest neighbours and their distance in Å.
Sites, in units of the cell vectors:
Zr  0.0000  0.5000  0.0000  4 Hg 2.92, 4 Mo 2.92
Zr  0.5000  0.0000  0.0000  4 Hg 2.92, 4 Mo 2.92
Hg  0.0000  0.0000  0.5000  8 Zr 2.92
Mo  0.5000  0.5000  0.5000  8 Zr 2.92

Computed properties:
As for the calculated total energy: -41.303 eV/atom. The energy relative to the elements comes out at -0.19 eV per atom. Its space group is No. 123.

---

[4]
Material: NaHgNO2
Method: DFT, meta-GGA SCAN
State: PBEsol geometry

Unit cell a=4.2578 b=4.2578 c=4.1769 alpha=90.00 beta=90.00 gamma=90.00
Last column: nearest neighbours and their distance in Å.
Sites, in units of the cell vectors:
Na  0.0000  0.0000  0.0000  8 O 2.98, 4 N 3.01
Hg  0.5000  0.5000  0.5000  2 N 2.09, 4 O 2.13
N  0.5000  0.5000  0.0000  2 Hg 2.09
O  0.0000  0.5000  0.5000  2 Hg 2.13
O  0.5000  0.0000  0.5000  2 Hg 2.13

Computed properties:
As for the calculated total energy: -18.223 eV/atom. Its space group is No. 123.

---

[5]
Material: NaHgN2O
Method: DFT, meta-GGA SCAN
State: PBEsol geometry

Unit cell a=4.2527 b=4.2527 c=4.3159 alpha=90.00 beta=90.00 gamma=90.00
Last column: nearest neighbours and their distance in Å.
Sites, in units of the cell vectors:
Na  0.0000  0.0000  0.0000  4 O 3.01, 8 N 3.03
Hg  0.5000  0.5000  0.5000  4 N 2.13, 2 O 2.16
N  0.0000  0.5000  0.5000  2 Hg 2.13
N  0.5000  0.0000  0.5000  2 Hg 2.13
O  0.5000  0.5000  0.0000  2 Hg 2.16

Computed properties:
As for the calculated total energy: -18.144 eV/atom. Its space group is No. 123.

---

[6]
Material: Nb2HgN
Method: DFT, meta-GGA SCAN
State: PBEsol geometry

Unit cell a=4.4233 b=4.4233 c=4.4233 alpha=60.00 beta=60.00 gamma=60.00
Last column: nearest neighbours and their distance in Å.
Sites, in units of the cell vectors:
Nb  0.2500  0.2500  0.2500  4 Hg 2.71, 4 N 2.71
Nb  0.7500  0.7500  0.7500  4 Hg 2.71, 4 N 2.71
Hg  0.0000  0.0000  0.0000  8 Nb 2.71
N  0.5000  0.5000  0.5000  8 Nb 2.71

Computed properties:
As for the calculated total energy: -35.089 eV/atom. Its space group is No. 225.

---

[7]
Material: NbHgSN2
Method: DFT, meta-GGA SCAN
State: PBEsol geometry

Unit cell a=3.9613 b=3.9613 c=5.2672 alpha=90.00 beta=90.00 gamma=90.00
Last column: nearest neighbours and their distance in Å.
Sites, in units of the cell vectors:
Nb  0.0000  0.0000  0.0000  4 N 1.98
Hg  0.5000  0.5000  0.5000  4 S 2.80
S  0.0000  0.0000  0.5000  2 Nb 2.63, 4 Hg 2.80
N  0.0000  0.5000  0.0000  2 Nb 1.98
N  0.5000  0.0000  0.0000  2 Nb 1.98

Computed properties:
As for the calculated total energy: -25.672 eV/atom. Its space group is No. 123.

---

[8]
Material: NbHgSeN2
Method: DFT, meta-GGA SCAN
State: PBEsol geometry

Unit cell a=3.9845 b=3.9845 c=5.5190 alpha=90.00 beta=90.00 gamma=90.00
Last column: nearest neighbours and their distance in Å.
Sites, in units of the cell vectors:
Nb  0.0000  0.0000  0.0000  4 N 1.99
Hg  0.5000  0.5000  0.5000  4 Se 2.82
Se  0.0000  0.0000  0.5000  2 Nb 2.76, 4 Hg 2.82
N  0.0000  0.5000  0.0000  2 Nb 1.99
N  0.5000  0.0000  0.0000  2 Nb 1.99

Computed properties:
As for the calculated total energy: -27.781 eV/atom. Its space group is No. 123.

---

[9]
Material: Ni3HgN
Method: DFT, meta-GGA SCAN
State: PBEsol geometry

Unit cell a=7.0746 b=7.0746 c=7.0746 alpha=60.00 beta=60.00 gamma=60.00
Last column: nearest neighbours and their distance in Å.
Sites, in units of the cell vectors:
Ni  0.0567  0.0567  0.6933  2 N 1.86
Ni  0.0567  0.6933  0.0567  2 N 1.86
Ni  0.0567  0.6933  0.6933  2 N 1.86
Ni  0.3067  0.3067  0.9433  2 N 1.86
Ni  0.3067  0.9433  0.3067  2 N 1.86
Ni  0.3067  0.9433  0.9433  2 N 1.86
Ni  0.6933  0.0567  0.0567  2 N 1.86
Ni  0.6933  0.0567  0.6933  2 N 1.86
Ni  0.6933  0.6933  0.0567  2 N 1.86
Ni  0.9433  0.3067  0.3067  2 N 1.86
Ni  0.9433  0.3067  0.9433  2 N 1.86
Ni  0.9433  0.9433  0.3067  2 N 1.86
Hg  0.0000  0.5000  0.5000  6 Ni 2.62
Hg  0.5000  0.0000  0.5000  6 Ni 2.62
Hg  0.5000  0.5000  0.0000  6 Ni 2.62
Hg  0.5000  0.5000  0.5000  6 Ni 2.62
N  0.0000  0.0000  0.0000  6 Ni 1.86
N  0.0000  0.0000  0.5000  6 Ni 1.86
N  0.0000  0.5000  0.0000  6 Ni 1.86
N  0.5000  0.0000  0.0000  6 Ni 1.86

Computed properties:
As for the calculated total energy: -25.209 eV/atom. Its space group is No. 227.

---

[10]
Material: NiHg3N
Method: DFT, meta-GGA SCAN
State: PBEsol geometry

Unit cell a=4.9193 b=4.9193 c=4.9193 alpha=90.00 beta=90.00 gamma=90.00
Last column: nearest neighbours and their distance in Å.
Sites, in units of the cell vectors:
Ni  0.0000  0.0000  0.0000  6 Hg 2.46
Hg  0.0000  0.0000  0.5000  2 Ni 2.46
Hg  0.0000  0.5000  0.0000  2 Ni 2.46
Hg  0.5000  0.0000  0.0000  2 Ni 2.46
N  0.5000  0.5000  0.5000  12 Hg 3.48

Computed properties:
As for the calculated total energy: -44.967 eV/atom. Its space group is No. 221.

---

[11]
Material: HgN2O2
Method: DFT, meta-GGA SCAN
State: PBEsol geometry

Unit cell a=3.6638 b=3.6638 c=3.8027 alpha=90.00 beta=90.00 gamma=90.00
Last column: nearest neighbours and their distance in Å.
Sites, in units of the cell vectors:
Hg  0.0000  0.0000  0.0000  4 O 2.59, 8 N 2.64
N  0.0000  0.5000  0.5000  2 O 1.83
N  0.5000  0.0000  0.5000  2 O 1.83
O  0.5000  0.5000  0.0000  2 O 1.90
O  0.5000  0.5000  0.5000  4 N 1.83, 2 O 1.90

Computed properties:
As for the calculated total energy: -17.668 eV/atom. Its space group is No. 123.

---

[12]
Material: HgRuN2O
Method: DFT, meta-GGA SCAN
State: PBEsol geometry

Unit cell a=4.1049 b=4.1049 c=4.0363 alpha=90.00 beta=90.00 gamma=90.00
Last column: nearest neighbours and their distance in Å.
Sites, in units of the cell vectors:
Hg  0.0000  0.0000  0.0000  2 O 2.02, 4 N 2.05
Ru  0.5000  0.5000  0.5000  8 N 2.88, 4 O 2.90
N  0.0000  0.5000  0.0000  2 Hg 2.05
N  0.5000  0.0000  0.0000  2 Hg 2.05
O  0.0000  0.0000  0.5000  2 Hg 2.02

Computed properties:
As for the calculated total energy: -23.268 eV/atom. Its space group is No. 123.

---

[13]
Material: Hg2SeNO
Method: DFT, meta-GGA SCAN
State: PBEsol geometry

Unit cell a=5.3696 b=5.3696 c=3.7611 alpha=90.00 beta=90.00 gamma=90.00
Last column: nearest neighbours and their distance in Å.
Sites, in units of the cell vectors:
Hg  0.0000  0.5000  0.0000  2 Se 2.68
Hg  0.5000  0.0000  0.0000  2 Se 2.68
Se  0.0000  0.0000  0.0000  2 O 1.88
N  0.5000  0.5000  0.5000  8 Hg 3.28
O  0.0000  0.0000  0.5000  2 Se 1.88

Computed properties:
As for the calculated total energy: -33.439 eV/atom. Its space group is No. 123.

---

[14]
Material: SiHgN2O
Method: DFT, meta-GGA SCAN
State: PBEsol geometry

Unit cell a=3.7763 b=3.7763 c=3.4966 alpha=90.00 beta=90.00 gamma=90.00
Last column: nearest neighbours and their distance in Å.
Sites, in units of the cell vectors:
Si  0.0000  0.0000  0.0000  2 O 1.75, 4 N 1.89
Hg  0.5000  0.5000  0.5000  8 N 2.57, 4 O 2.67
N  0.0000  0.5000  0.0000  2 Si 1.89
N  0.5000  0.0000  0.0000  2 Si 1.89
O  0.0000  0.0000  0.5000  2 Si 1.75

Computed properties:
As for the calculated total energy: -20.459 eV/atom. Its space group is No. 123.

---

[15]
Material: SnHgNO2
Method: DFT, meta-GGA SCAN
State: PBEsol geometry

Unit cell a=4.1903 b=4.1903 c=4.1631 alpha=90.00 beta=90.00 gamma=90.00
Last column: nearest neighbours and their distance in Å.
Sites, in units of the cell vectors:
Sn  0.0000  0.0000  0.0000  8 O 2.95, 4 N 2.96
Hg  0.5000  0.5000  0.5000  2 N 2.08, 4 O 2.10
N  0.5000  0.5000  0.0000  2 Hg 2.08
O  0.0000  0.5000  0.5000  2 Hg 2.10
O  0.5000  0.0000  0.5000  2 Hg 2.10

Computed properties:
As for the calculated total energy: -24.390 eV/atom. Its space group is No. 123.